Below is an optimized crystal structure of TlRe2Mo, with properties calculated at the GGA-PBE level. Values from VASP.

Quantum ESPRESSO input file:
```
&SYSTEM
  ibrav = 0, nat = 12, ntyp = 3
/
ATOMIC_SPECIES
Tl 204.38 Tl.upf
Re 186.21 Re.upf
Mo 95.94 Mo.upf
CELL_PARAMETERS angstrom
2.8820 0.0000 0.0000
-1.4410 2.4959 0.0000
0.0000 0.0000 28.4023
ATOMIC_POSITIONS angstrom
Tl 0.0000 0.0000 0.0000
Tl 0.0000 1.6639 18.9349
Tl 1.4410 0.8320 9.4674
Re 0.0000 0.0000 6.9076
Re 0.0000 0.0000 14.2654
Re 0.0000 1.6639 4.7980
Re 0.0000 1.6639 25.8424
Re 1.4410 0.8320 16.3750
Re 1.4410 0.8320 23.7329
Mo 0.0000 0.0000 21.4714
Mo 0.0000 1.6639 12.0039
Mo 1.4410 0.8320 2.5365
```

space group: R3m (160)
ρ: 16.4 Mg/m³
energy relative to the elements: 0.558 eV/atom
energy above the most stable polymorph in this dataset: 77 meV/atom
total magnetization: 0.00 Bohr magnetons per cell

Below is an optimized crystal structure of In2MoPd, with properties calculated at the GGA-PBE level. Values from VASP.

Quantum ESPRESSO input file:
```
&SYSTEM
  ibrav = 0, nat = 16, ntyp = 3
/
ATOMIC_SPECIES
In 114.82 In.upf
Mo 95.94 Mo.upf
Pd 106.42 Pd.upf
CELL_PARAMETERS angstrom
6.6289 0.0000 0.0000
0.0000 6.6289 0.0000
0.0000 0.0000 6.6289
ATOMIC_POSITIONS angstrom
In 1.6572 1.6572 1.6572
In 1.6572 1.6572 4.9717
In 1.6572 4.9717 1.6572
In 1.6572 4.9717 4.9717
In 4.9717 1.6572 1.6572
In 4.9717 1.6572 4.9717
In 4.9717 4.9717 1.6572
In 4.9717 4.9717 4.9717
Mo 0.0000 0.0000 0.0000
Mo 0.0000 3.3144 3.3144
Mo 3.3144 0.0000 3.3144
Mo 3.3144 3.3144 0.0000
Pd 0.0000 0.0000 3.3144
Pd 0.0000 3.3144 0.0000
Pd 3.3144 0.0000 0.0000
Pd 3.3144 3.3144 3.3144
```

space group: Fm-3m (225)
ρ: 9.9 Mg/m³
energy relative to the elements: 0.134 eV/atom
energy above the most stable polymorph in this dataset: 0 meV/atom
total magnetization: 4.60 Bohr magnetons per cell

Below is an optimized crystal structure of Al3SnIr, with properties calculated at the GGA-PBE level. Values from VASP.

Quantum ESPRESSO input file:
```
&SYSTEM
  ibrav = 0, nat = 5, ntyp = 3
/
ATOMIC_SPECIES
Al 26.98 Al.upf
Sn 118.71 Sn.upf
Ir 192.22 Ir.upf
CELL_PARAMETERS angstrom
4.7876 0.0000 0.0000
0.0000 4.7876 0.0000
0.0000 0.0000 4.7876
ATOMIC_POSITIONS angstrom
Al 0.0000 0.0000 2.3938
Al 0.0000 2.3938 0.0000
Al 2.3938 0.0000 0.0000
Sn 2.3938 2.3938 2.3938
Ir 0.0000 0.0000 0.0000
```

space group: Pm-3m (221)
ρ: 5.9 Mg/m³
energy relative to the elements: -0.090 eV/atom
energy above the most stable polymorph in this dataset: 0 meV/atom
total magnetization: 0.00 Bohr magnetons per cell

Below is an optimized crystal structure of CsRb2As, with properties calculated at the GGA-PBE level. Values from VASP.

Quantum ESPRESSO input file:
```
&SYSTEM
  ibrav = 0, nat = 16, ntyp = 3
/
ATOMIC_SPECIES
Cs 132.91 Cs.upf
Rb 85.47 Rb.upf
As 74.92 As.upf
CELL_PARAMETERS angstrom
5.8873 0.0000 0.0000
0.0000 5.8873 0.0000
0.0000 0.0000 23.8942
ATOMIC_POSITIONS angstrom
Cs 0.0000 0.0000 0.0000
Cs 0.0000 2.9436 5.9735
Cs 2.9436 0.0000 17.9206
Cs 2.9436 2.9436 11.9471
Rb 1.1240 1.4718 14.9338
Rb 1.4718 4.0676 20.9074
Rb 1.4718 4.7633 8.9603
Rb 1.8197 1.4718 2.9868
Rb 4.0676 4.4155 2.9868
Rb 4.4155 1.1240 8.9603
Rb 4.4155 1.8197 20.9074
Rb 4.7633 4.4155 14.9338
As 0.0000 0.0000 11.9471
As 0.0000 2.9436 17.9206
As 2.9436 0.0000 5.9735
As 2.9436 2.9436 0.0000
```

space group: I-42d (122)
ρ: 3.0 Mg/m³
energy relative to the elements: 0.000 eV/atom
total magnetization: 0.00 Bohr magnetons per cell

Below is an optimized crystal structure of PmHoAlCd, with properties calculated at the GGA-PBE level. Values from VASP.

Quantum ESPRESSO input file:
```
&SYSTEM
  ibrav = 0, nat = 4, ntyp = 4
/
ATOMIC_SPECIES
Pm 145.00 Pm.upf
Ho 164.93 Ho.upf
Al 26.98 Al.upf
Cd 112.41 Cd.upf
CELL_PARAMETERS angstrom
3.6605 0.0000 0.0000
0.0000 3.6605 0.0000
0.0000 0.0000 7.6366
ATOMIC_POSITIONS angstrom
Pm 0.0000 0.0000 0.0000
Ho 0.0000 0.0000 3.6375
Al 1.8302 1.8302 1.8940
Cd 1.8302 1.8302 5.5154
```

space group: P4mm (99)
ρ: 7.3 Mg/m³
energy relative to the elements: -0.358 eV/atom
energy above the most stable polymorph in this dataset: 0 meV/atom
total magnetization: 0.00 Bohr magnetons per cell